# 1
{
  "formula": "LaTbMn",
  "functional": "PBE",
  "state": "optimized geometry",
  "total_energy_ev_per_atom": -6.0232,
  "crystal_system": "orthorhombic",
  "magmom_total_mub_per_cell": 0.00,
  "n_ef_per_ev_cell": 14.66,
  "ef_ev_per_atom": 0.2192,
  "lattice": [[7.3403, 0.0000, 0.0000], [-3.6702, 5.8861, 0.0000], [0.0000, 0.0000, 7.4757]],
  "species": ["Mn", "Mn", "Mn", "Mn", "Tb", "Tb", "Tb", "Tb", "La", "La", "La", "La"],
  "fractional_positions": [[0.5959, 0.1918, 0.5219], [0.9041, 0.8082, 0.0219], [0.4041, 0.8082, 0.4781], [0.0959, 0.1918, 0.9781], [0.2714, 0.0428, 0.2500], [0.2286, 0.9572, 0.7500], [0.7286, 0.9572, 0.7500], [0.7714, 0.0428, 0.2500], [0.7846, 0.5691, 0.4184], [0.7154, 0.4309, 0.9184], [0.2154, 0.4309, 0.5816], [0.2846, 0.5691, 0.0816]]
}

# 2
{
  "formula": "CdNiCl",
  "functional": "PBE",
  "state": "optimized geometry",
  "total_energy_ev_per_atom": -2.6931,
  "formation_energy_uncorrected_ev_per_fu": 0.46,
  "crystal_system": "hexagonal",
  "magmom_total_mub_per_cell": 0.36,
  "n_ef_per_ev_cell": 3.33,
  "lattice": [[3.8974, 0.0000, 0.0000], [-1.9487, 3.3753, 0.0000], [0.0000, 0.0000, 4.5196]],
  "species": ["Cd", "Cl", "Ni"],
  "fractional_positions": [[0.0000, 0.0000, 0.0001], [0.6667, 0.3333, 0.5001], [0.3333, 0.6667, 0.4998]]
}

# 3
{
  "formula": "LiAl2Ni",
  "functional": "PBE",
  "state": "optimized geometry",
  "total_energy_ev_per_atom": -3.4918,
  "crystal_system": "tetragonal",
  "magmom_total_mub_per_cell": 0.00,
  "n_ef_per_ev_cell": 3.05,
  "ef_ev_per_atom": 0.3033,
  "lattice": [[5.1709, 0.0000, 0.0000], [0.0000, 5.1709, 0.0000], [2.5855, 2.5855, 7.4025]],
  "species": ["Ni", "Ni", "Al", "Al", "Al", "Al", "Li", "Li"],
  "fractional_positions": [[0.0000, 0.0000, 0.0000], [0.7500, 0.2500, 0.5000], [0.8764, 0.1250, 0.2500], [0.8736, 0.6250, 0.2500], [0.3750, 0.1236, 0.7500], [0.8750, 0.1264, 0.7500], [0.5000, 0.5000, 0.0000], [0.2500, 0.7500, 0.5000]]
}

# 4
{
  "formula": "Pm2Tl3VSe6",
  "functional": "PBE",
  "state": "optimized geometry",
  "total_energy_ev_per_atom": -4.9422,
  "formation_energy_uncorrected_ev_per_fu": -12.68,
  "crystal_system": "monoclinic",
  "magmom_total_mub_per_cell": 2.01,
  "n_ef_per_ev_cell": 7.51,
  "lattice": [[-1.4293, 5.3641, 4.4894], [2.1845, -6.2908, 2.5741], [7.0797, 2.6616, -2.8385]],
  "species": ["Pm", "Pm", "Tl", "Tl", "Tl", "V", "Se", "Se", "Se", "Se", "Se", "Se"],
  "fractional_positions": [[0.3343, 0.6657, 0.0000], [0.6657, 0.3343, 0.0000], [0.1740, 0.8260, 0.5000], [0.8260, 0.1740, 0.5000], [0.5000, 0.5000, 0.5000], [0.0000, 0.0000, 0.0000], [0.9334, 0.6312, 0.8012], [0.7646, 0.7646, 0.2084], [0.0666, 0.3688, 0.1988], [0.6312, 0.9334, 0.8012], [0.2354, 0.2354, 0.7916], [0.3688, 0.0666, 0.1988]]
}